# ScTcAu, optimized geometry, DFT PBE-GGA
data_ScTcAu
_chemical_formula_sum 'Sc4 Tc4 Au4'
_symmetry_space_group_name_H-M 'F -4 3 m'
_symmetry_Int_Tables_number 216
_symmetry_space_group_name_Hall 'F -4 2 3'
_cell_length_a 6.3427
_cell_length_b 6.3427
_cell_length_c 6.3427
_cell_angle_alpha 90.00
_cell_angle_beta 90.00
_cell_angle_gamma 90.00
loop_
_atom_site_label
_atom_site_type_symbol
_atom_site_fract_x
_atom_site_fract_y
_atom_site_fract_z
_atom_site_occupancy
Sc1 Sc 0.0000 0.0000 0.0000 1
Tc1 Tc 0.0000 0.0000 0.5000 1
Au1 Au 0.2500 0.2500 0.2500 1
# **N(E_F)**: 1.022 states/eV per atom
# **Energy above the most stable polymorph in this dataset**: 404.5 meV/atom
# **ΔH_f (0 K)**: 344 meV per atom

***

# Sc2TcAu, optimized geometry, DFT PBE-GGA
data_Sc2TcAu
_chemical_formula_sum 'Sc6 Tc3 Au3'
_symmetry_space_group_name_H-M 'R -3 m'
_symmetry_Int_Tables_number 166
_symmetry_space_group_name_Hall '-R 3 2"'
_cell_length_a 3.2395
_cell_length_b 3.2395
_cell_length_c 25.3414
_cell_angle_alpha 90.00
_cell_angle_beta 90.00
_cell_angle_gamma 120.00
loop_
_atom_site_label
_atom_site_type_symbol
_atom_site_fract_x
_atom_site_fract_y
_atom_site_fract_z
_atom_site_occupancy
Sc1 Sc 0.0000 0.0000 0.2435 1
Tc1 Tc 0.0000 0.0000 0.5000 1
Au1 Au 0.0000 0.0000 0.0000 1
# **N(E_F)**: 0.645 states/eV per atom
# **Energy above the most stable polymorph in this dataset**: 294.3 meV/atom
# **ΔH_f (0 K)**: -264 meV per atom

***

# Sc2TcAu, optimized geometry, DFT PBE-GGA
data_Sc2TcAu
_chemical_formula_sum 'Sc2 Tc1 Au1'
_symmetry_space_group_name_H-M 'P 4/m m m'
_symmetry_Int_Tables_number 123
_symmetry_space_group_name_Hall '-P 4 2'
_cell_length_a 3.3318
_cell_length_b 3.3318
_cell_length_c 6.5769
_cell_angle_alpha 90.00
_cell_angle_beta 90.00
_cell_angle_gamma 90.00
loop_
_atom_site_label
_atom_site_type_symbol
_atom_site_fract_x
_atom_site_fract_y
_atom_site_fract_z
_atom_site_occupancy
Sc1 Sc 0.0000 0.0000 0.2283 1
Tc1 Tc 0.5000 0.5000 0.0000 1
Au1 Au 0.5000 0.5000 0.5000 1
# **N(E_F)**: 0.681 states/eV per atom
# **Energy above the most stable polymorph in this dataset**: 0.0 meV/atom
# **ΔH_f (0 K)**: -558 meV per atom

***

# ScTc2Au, optimized geometry, DFT PBE-GGA
data_ScTc2Au
_chemical_formula_sum 'Sc1 Tc2 Au1'
_symmetry_space_group_name_H-M 'P 1 m 1'
_symmetry_Int_Tables_number 6
_cell_length_a 2.9961
_cell_length_b 3.8701
_cell_length_c 5.8674
_cell_angle_alpha 90.00
_cell_angle_beta 94.19
_cell_angle_gamma 90.00
loop_
_symmetry_equiv_pos_as_xyz
'x,y,z'
'x,-y,z'
loop_
_atom_site_label
_atom_site_type_symbol
_atom_site_fract_x
_atom_site_fract_y
_atom_site_fract_z
_atom_site_occupancy
Sc1 Sc 0.0000 0.0000 0.0000 1
Tc1 Tc 0.4938 0.5000 0.2812 1
Tc2 Tc 0.9094 0.0000 0.4610 1
Au1 Au 0.4653 0.5000 0.7549 1
# **N(E_F)**: 0.990 states/eV per atom
# **Energy above the most stable polymorph in this dataset**: 88.6 meV/atom
# **ΔH_f (0 K)**: -110 meV per atom

***

# Sc5TcAu4, optimized geometry, DFT PBE-GGA
data_Sc5TcAu4
_chemical_formula_sum 'Sc5 Tc1 Au4'
_symmetry_space_group_name_H-M 'P 4/m m m'
_symmetry_Int_Tables_number 123
_symmetry_space_group_name_Hall '-P 4 2'
_cell_length_a 3.3633
_cell_length_b 3.3633
_cell_length_c 16.9224
_cell_angle_alpha 90.00
_cell_angle_beta 90.00
_cell_angle_gamma 90.00
loop_
_atom_site_label
_atom_site_type_symbol
_atom_site_fract_x
_atom_site_fract_y
_atom_site_fract_z
_atom_site_occupancy
Sc1 Sc 0.0000 0.0000 0.0000 1
Sc2 Sc 0.0000 0.0000 0.2045 1
Sc3 Sc 0.0000 0.0000 0.4111 1
Tc1 Tc 0.5000 0.5000 0.5000 1
Au1 Au 0.5000 0.5000 0.1025 1
Au2 Au 0.5000 0.5000 0.3060 1
# **N(E_F)**: 0.786 states/eV per atom
# **ΔH_f (0 K)**: -698 meV per atom

***

# Sc2TcAu, optimized geometry, DFT PBE-GGA
data_Sc2TcAu
_chemical_formula_sum 'Sc2 Tc1 Au1'
_symmetry_space_group_name_H-M 'P m m 2'
_symmetry_Int_Tables_number 25
_cell_length_a 3.2183
_cell_length_b 4.1360
_cell_length_c 5.7262
_cell_angle_alpha 90.00
_cell_angle_beta 90.00
_cell_angle_gamma 90.00
loop_
_symmetry_equiv_pos_as_xyz
'x,y,z'
'-x,-y,z'
'-x,y,z'
'x,-y,z'
loop_
_atom_site_label
_atom_site_type_symbol
_atom_site_fract_x
_atom_site_fract_y
_atom_site_fract_z
_atom_site_occupancy
Sc1 Sc 0.0000 0.0000 0.0000 1
Sc2 Sc 0.5000 0.5000 0.3357 1
Tc1 Tc 0.0000 0.0000 0.4839 1
Au1 Au 0.5000 0.5000 0.8136 1
# **N(E_F)**: 0.522 states/eV per atom
# **Energy above the most stable polymorph in this dataset**: 321.1 meV/atom
# **ΔH_f (0 K)**: -237 meV per atom

***

# ScTc2Au, optimized geometry, DFT PBE-GGA
data_ScTc2Au
_chemical_formula_sum 'Sc2 Tc4 Au2'
_symmetry_space_group_name_H-M 'C 1 m 1'
_symmetry_Int_Tables_number 8
_cell_length_a 9.1567
_cell_length_b 3.0926
_cell_length_c 4.8999
_cell_angle_alpha 90.00
_cell_angle_beta 102.44
_cell_angle_gamma 90.00
loop_
_symmetry_equiv_pos_as_xyz
'x,y,z'
'x,-y,z'
'x+1/2,y+1/2,z'
'x+1/2,-y+1/2,z'
loop_
_atom_site_label
_atom_site_type_symbol
_atom_site_fract_x
_atom_site_fract_y
_atom_site_fract_z
_atom_site_occupancy
Sc1 Sc 0.0000 0.0000 0.0000 1
Tc1 Tc 0.2636 0.5000 0.3249 1
Tc2 Tc 0.4924 0.0000 0.4737 1
Au1 Au 0.2465 0.0000 0.7899 1
# **N(E_F)**: 1.057 states/eV per atom
# **Energy above the most stable polymorph in this dataset**: 200.7 meV/atom
# **ΔH_f (0 K)**: 2 meV per atom

***

# Sc2TcAu, optimized geometry, DFT PBE-GGA
data_Sc2TcAu
_chemical_formula_sum 'Sc8 Tc4 Au4'
_symmetry_space_group_name_H-M 'F m -3 m'
_symmetry_Int_Tables_number 225
_symmetry_space_group_name_Hall '-F 4 2 3'
_cell_length_a 6.6039
_cell_length_b 6.6039
_cell_length_c 6.6039
_cell_angle_alpha 90.00
_cell_angle_beta 90.00
_cell_angle_gamma 90.00
loop_
_atom_site_label
_atom_site_type_symbol
_atom_site_fract_x
_atom_site_fract_y
_atom_site_fract_z
_atom_site_occupancy
Sc1 Sc 0.2500 0.2500 0.2500 1
Tc1 Tc 0.0000 0.0000 0.0000 1
Au1 Au 0.0000 0.0000 0.5000 1
# **N(E_F)**: 0.268 states/eV per atom
# **Energy above the most stable polymorph in this dataset**: 57.0 meV/atom
# **ΔH_f (0 K)**: -501 meV per atom

***

# Sc8Tc2Au, optimized geometry, DFT PBE-GGA
data_Sc8Tc2Au
_chemical_formula_sum 'Sc16 Tc4 Au2'
_symmetry_space_group_name_H-M 'I m m 2'
_symmetry_Int_Tables_number 44
_cell_length_a 4.8568
_cell_length_b 14.5618
_cell_length_c 6.4909
_cell_angle_alpha 90.00
_cell_angle_beta 90.00
_cell_angle_gamma 90.00
loop_
_symmetry_equiv_pos_as_xyz
'x,y,z'
'-x,-y,z'
'-x,y,z'
'x,-y,z'
'x+1/2,y+1/2,z+1/2'
'-x+1/2,-y+1/2,z+1/2'
'-x+1/2,y+1/2,z+1/2'
'x+1/2,-y+1/2,z+1/2'
loop_
_atom_site_label
_atom_site_type_symbol
_atom_site_fract_x
_atom_site_fract_y
_atom_site_fract_z
_atom_site_occupancy
Sc1 Sc 0.0000 0.0000 0.0000 1
Sc2 Sc 0.0000 0.1112 0.5742 1
Sc3 Sc 0.0000 0.2917 0.8959 1
Sc4 Sc 0.0000 0.3381 0.4282 1
Sc5 Sc 0.0000 0.5000 0.7879 1
Tc1 Tc 0.0000 0.1658 0.1972 1
Au1 Au 0.0000 0.5000 0.2051 1
# **N(E_F)**: 1.258 states/eV per atom
# **ΔH_f (0 K)**: -288 meV per atom

***

# ScTc2Au, optimized geometry, DFT PBE-GGA
data_ScTc2Au
_chemical_formula_sum 'Sc3 Tc6 Au3'
_symmetry_space_group_name_H-M 'R 3 m'
_symmetry_Int_Tables_number 160
_symmetry_space_group_name_Hall 'R 3 -2"'
_cell_length_a 2.9076
_cell_length_b 2.9076
_cell_length_c 27.5614
_cell_angle_alpha 90.00
_cell_angle_beta 90.00
_cell_angle_gamma 120.00
loop_
_atom_site_label
_atom_site_type_symbol
_atom_site_fract_x
_atom_site_fract_y
_atom_site_fract_z
_atom_site_occupancy
Sc1 Sc 0.0000 0.0000 0.0000 1
Tc1 Tc 0.0000 0.0000 0.4909 1
Tc2 Tc 0.0000 0.0000 0.7513 1
Au1 Au 0.0000 0.0000 0.2462 1
# **N(E_F)**: 0.907 states/eV per atom
# **Energy above the most stable polymorph in this dataset**: 257.3 meV/atom
# **ΔH_f (0 K)**: 58 meV per atom

***

# Sc2TcAu, optimized geometry, DFT PBE-GGA
data_Sc2TcAu
_chemical_formula_sum 'Sc6 Tc3 Au3'
_symmetry_space_group_name_H-M 'R -3 m'
_symmetry_Int_Tables_number 166
_symmetry_space_group_name_Hall '-R 3 2"'
_cell_length_a 3.1455
_cell_length_b 3.1455
_cell_length_c 28.2984
_cell_angle_alpha 90.00
_cell_angle_beta 90.00
_cell_angle_gamma 120.00
loop_
_atom_site_label
_atom_site_type_symbol
_atom_site_fract_x
_atom_site_fract_y
_atom_site_fract_z
_atom_site_occupancy
Sc1 Sc 0.0000 0.0000 0.0978 1
Tc1 Tc 0.0000 0.0000 0.5000 1
Au1 Au 0.0000 0.0000 0.0000 1
# **N(E_F)**: 0.737 states/eV per atom
# **Energy above the most stable polymorph in this dataset**: 559.1 meV/atom
# **ΔH_f (0 K)**: 1 meV per atom

***

# ScTcAu, optimized geometry, DFT PBE-GGA
data_ScTcAu
_chemical_formula_sum 'Sc1 Tc1 Au1'
_symmetry_space_group_name_H-M 'P 3 m 1'
_symmetry_Int_Tables_number 156
_cell_length_a 4.6857
_cell_length_b 4.6857
_cell_length_c 2.7402
_cell_angle_alpha 90.00
_cell_angle_beta 90.00
_cell_angle_gamma 120.00
loop_
_symmetry_equiv_pos_as_xyz
'x,y,z'
'-y,x-y,z'
'-x+y,-x,z'
'-y,-x,z'
'-x+y,y,z'
'x,x-y,z'
loop_
_atom_site_label
_atom_site_type_symbol
_atom_site_fract_x
_atom_site_fract_y
_atom_site_fract_z
_atom_site_occupancy
Sc1 Sc 0.0000 0.0000 0.0000 1
Tc1 Tc 0.6667 0.3333 0.3237 1
Au1 Au 0.3333 0.6667 0.7192 1
# **N(E_F)**: 1.388 states/eV per atom
# **Energy above the most stable polymorph in this dataset**: 115.4 meV/atom
# **ΔH_f (0 K)**: 55 meV per atom

***

Number 1: magnetization 8.12 Bohr magnetons per cell. Number 2: magnetization 0.00 Bohr magnetons per cell. Number 3: magnetization 0.00 Bohr magnetons per cell. Number 4: magnetization 0.00 Bohr magnetons per cell. Number 5: magnetization 0.00 Bohr magnetons per cell. Number 6: magnetization 0.00 Bohr magnetons per cell. Number 7: magnetization 0.00 Bohr magnetons per cell. Number 8: magnetization 0.00 Bohr magnetons per cell. Number 9: magnetization 0.00 Bohr magnetons per cell. Number 10: magnetization 0.00 Bohr magnetons per cell. Number 11: magnetization 0.00 Bohr magnetons per cell. Number 12: magnetization 0.00 Bohr magnetons per cell.